(1)
AcPtO4 | PBE | optimized geometry

```
data_AcPtO4
_chemical_formula_sum 'Ac2 Pt2 O8'
_cell_length_a 5.0178
_cell_length_b 5.6970
_cell_length_c 6.5414
_cell_angle_alpha 106.67
_cell_angle_beta 112.52
_cell_angle_gamma 90.00
_symmetry_space_group_name_H-M 'P 1'
_symmetry_Int_Tables_number 1
loop_
_symmetry_equiv_pos_as_xyz
'x,y,z'
loop_
_atom_site_label
_atom_site_fract_x
_atom_site_fract_y
_atom_site_fract_z
_atom_site_occupancy
Ac1 0.2148 0.2504 0.0005 1
Ac2 0.7852 0.7496 0.9995 1
Pt1 0.0000 0.5000 0.5000 1
Pt2 0.5000 0.0000 0.5000 1
O1 0.1313 0.1669 0.3683 1
O2 0.2370 0.6669 0.3680 1
O3 0.2837 0.5575 0.8196 1
O4 0.4662 0.9436 0.1813 1
O5 0.5338 0.0564 0.8187 1
O6 0.7163 0.4425 0.1804 1
O7 0.7630 0.3331 0.6320 1
O8 0.8687 0.8331 0.6317 1
```


(2)
Ac3PtO7 | PBE | optimized geometry

```
data_Ac3PtO7
_chemical_formula_sum 'Ac6 Pt2 O14'
_cell_length_a 6.9926
_cell_length_b 6.9926
_cell_length_c 7.8580
_cell_angle_alpha 90.00
_cell_angle_beta 90.00
_cell_angle_gamma 67.26
_symmetry_space_group_name_H-M 'P 1'
_symmetry_Int_Tables_number 1
loop_
_symmetry_equiv_pos_as_xyz
'x,y,z'
loop_
_atom_site_label
_atom_site_fract_x
_atom_site_fract_y
_atom_site_fract_z
_atom_site_occupancy
Ac1 0.0000 0.0000 0.0000 1
Ac2 0.0000 0.0000 0.5000 1
Ac3 0.0964 0.4637 0.7500 1
Ac4 0.4637 0.0964 0.2500 1
Ac5 0.5363 0.9036 0.7500 1
Ac6 0.9036 0.5363 0.2500 1
Pt1 0.5000 0.5000 0.0000 1
Pt2 0.5000 0.5000 0.5000 1
O1 0.0974 0.1632 0.2500 1
O2 0.1632 0.0974 0.7500 1
O3 0.1950 0.5574 0.0411 1
O4 0.1950 0.5574 0.4589 1
O5 0.4116 0.5884 0.7500 1
O6 0.4426 0.8050 0.0411 1
O7 0.4426 0.8050 0.4589 1
O8 0.5574 0.1950 0.5411 1
O9 0.5574 0.1950 0.9589 1
O10 0.5884 0.4116 0.2500 1
O11 0.8050 0.4426 0.5411 1
O12 0.8050 0.4426 0.9589 1
O13 0.8368 0.9026 0.2500 1
O14 0.9026 0.8368 0.7500 1
```


(3)
Ac3PtO6 | PBE | optimized geometry

```
data_Ac3PtO6
_chemical_formula_sum 'Ac6 Pt2 O12'
_cell_length_a 7.0927
_cell_length_b 7.0927
_cell_length_c 7.0927
_cell_angle_alpha 97.93
_cell_angle_beta 97.93
_cell_angle_gamma 97.93
_symmetry_space_group_name_H-M 'P 1'
_symmetry_Int_Tables_number 1
loop_
_symmetry_equiv_pos_as_xyz
'x,y,z'
loop_
_atom_site_label
_atom_site_fract_x
_atom_site_fract_y
_atom_site_fract_z
_atom_site_occupancy
Ac1 0.0970 0.7798 0.6156 1
Ac2 0.2202 0.3844 0.9030 1
Ac3 0.3844 0.9030 0.2202 1
Ac4 0.6156 0.0970 0.7798 1
Ac5 0.7798 0.6156 0.0970 1
Ac6 0.9030 0.2202 0.3844 1
Pt1 0.0000 0.0000 0.0000 1
Pt2 0.5000 0.5000 0.5000 1
O1 0.0562 0.9134 0.3071 1
O2 0.0866 0.6929 0.9438 1
O3 0.2088 0.4423 0.5445 1
O4 0.3071 0.0562 0.9134 1
O5 0.4423 0.5445 0.2088 1
O6 0.4555 0.7912 0.5577 1
O7 0.5445 0.2088 0.4423 1
O8 0.5577 0.4555 0.7912 1
O9 0.6929 0.9438 0.0866 1
O10 0.7912 0.5577 0.4555 1
O11 0.9134 0.3071 0.0562 1
O12 0.9438 0.0866 0.6929 1
```


no.,E_form (uncorrected) (kJ per mole of atoms)
1,-154
2,-238
3,-244